Ti3FeRh2: optimized geometry, PBE.

Values from the calculation:
The density of states at the Fermi level is 5.53 states/eV/f.u. The total energy is -8.445 eV/atom. Its space-group type is P4/mmm (123). The formation enthalpy at 0 K is -0.64 eV/atom.

The structure in POSCAR format:
```
Ti3FeRh2
1.0
2.9634 0.0000 0.0000
0.0000 2.9634 0.0000
0.0000 0.0000 9.7739
Ti Fe Rh
3 1 2
Cartesian
0.0000 0.0000 0.0000
0.0000 0.0000 3.4116
0.0000 0.0000 6.3623
1.4817 1.4817 4.8870
1.4817 1.4817 1.7415
1.4817 1.4817 8.0325
```

***

Ca2PC: optimized geometry, PBE.

Values from the calculation:
The density of states at the Fermi level is 2.80 states/eV/f.u. The total energy is -4.386 eV/atom. For the energy above the lowest structure with this stoichiometry, the calculation gives 0 meV per atom. Its space-group type is Fm-3m (225). The formation enthalpy at 0 K is 0.27 eV/atom.

The structure in POSCAR format:
```
Ca2PC
1.0
0.0000 3.3607 3.3607
3.3607 0.0000 3.3607
3.3607 3.3607 0.0000
Ca P C
2 1 1
Cartesian
1.6804 1.6804 1.6804
5.0411 5.0411 5.0411
0.0000 0.0000 0.0000
3.3607 3.3607 3.3607
```

***

Ca2VS: optimized geometry, PBE.

Values from the calculation:
The density of states at the Fermi level is 2.99 states/eV/f.u. The total energy is -4.639 eV/atom. For the formation energy without anion corrections, the calculation gives -326 meV/atom. Its space-group type is I-42d (122).

The structure in POSCAR format:
```
Ca2VS
1.0
-5.1463 5.1463 2.2656
5.1463 -5.1463 2.2656
5.1463 5.1463 -2.2656
Ca V S
4 2 2
Cartesian
-0.9807 2.5732 0.5664
2.5732 4.1656 1.6992
0.9807 7.7195 0.5664
-2.5732 6.1270 1.6992
5.1463 0.0000 1.1328
0.0000 0.0000 2.2656
0.0000 0.0000 0.0000
0.0000 5.1463 1.1328
```

***

CdSiSb2Te: optimized geometry, PBE.

Values from the calculation:
The density of states at the Fermi level is 4.33 states/eV/f.u. The total energy is -2.512 eV/atom. For the formation energy without anion corrections, the calculation gives 1032 meV/atom. For the energy above the lowest structure with this stoichiometry, the calculation gives 515 meV per atom. Its space-group type is P4/mmm (123).

The structure in POSCAR format:
```
CdSiSb2Te
1.0
5.4254 0.0000 0.0000
0.0000 5.4254 0.0000
0.0000 0.0000 5.6395
Cd Si Sb Te
1 1 2 1
Cartesian
0.0000 0.0000 0.0000
2.7127 2.7127 2.8197
0.0000 2.7127 0.0000
2.7127 0.0000 0.0000
0.0000 0.0000 2.8197
```